Density functional theory data (PBE with a Hubbard U) for a relaxed MnBrNF2 crystal.

space-group type	P4/mmm
total DFT energy (no corrections)	-4.73	eV/atom
total moment	3.07	Bohr magnetons per cell
energy above the most stable polymorph in this dataset	0.0	meV per atom

Cell: 3.8708 3.8708 4.7341 Å, 90.00 90.00 90.00°
With the nearest neighbours (Å) after each atom.
Fractional positions:
Mn 0.0000 0.0000 0.0000  4 F 1.94
Br 0.5000 0.5000 0.5000  4 N 2.74, 8 F 3.06
N 0.0000 0.0000 0.5000  2 Mn 2.37
F 0.0000 0.5000 0.0000  2 Mn 1.94
F 0.5000 0.0000 0.0000  2 Mn 1.94